The following is a DFT calculation (GGA-PBE) of a relaxed structure of CsErZr.

Unit cell a=8.173 b=8.173 c=8.173 alpha=90.00 beta=90.00 gamma=90.00
Space group F-43m (No. 216)
Asymmetric unit:
Cs 0.000 0.000 0.000
Er 0.250 0.250 0.250
Zr 0.000 0.000 0.500

=====

The following is a DFT calculation (GGA-PBE) of a relaxed structure of TbNdZn2As2O2.

Unit cell a=4.003 b=4.003 c=8.964 alpha=90.00 beta=90.00 gamma=90.00
Space group P4mm (No. 99)
Asymmetric unit:
Tb 0.000 0.000 0.000
Nd 0.500 0.500 0.745
Zn 0.000 0.500 0.375
As 0.000 0.000 0.556
As 0.500 0.500 0.197
O 0.000 0.500 0.882

=====

The following is a DFT calculation (GGA-PBE) of a relaxed structure of RbGdTeO.

Unit cell a=3.9072 b=3.9072 c=15.5338 alpha=90.00 beta=90.00 gamma=120.00
Space group P-3m1 (No. 164)
Asymmetric unit:
Rb 0.3333 0.6667 0.3011
Gd 0.0000 0.0000 0.0000
Gd 0.0000 0.0000 0.5000
Te 0.3333 0.6667 0.8712
O 0.3333 0.6667 0.5669

=====

The following is a DFT calculation (GGA-PBE) of a relaxed structure of Ta3B4Pb.

Unit cell a=3.072 b=3.233 c=10.191 alpha=90.00 beta=90.00 gamma=90.00
Space group Pmmm (No. 47)
Asymmetric unit:
Ta 0.000 0.000 0.000
Ta 0.500 0.000 0.263
B 0.000 0.500 0.179
B 0.500 0.500 0.093
Pb 0.000 0.500 0.500

=====

The following is a DFT calculation (GGA-PBE) of a relaxed structure of Sc2ZnPt.

Unit cell a=4.689 b=14.067 c=6.632 alpha=90.00 beta=90.00 gamma=90.00
Space group Pnnm (No. 58)
Asymmetric unit:
Sc 0.000 0.000 0.250
Sc 0.001 0.333 0.250
Zn 0.000 0.500 0.000
Zn 0.002 0.167 0.000
Pt 0.000 0.500 0.500
Pt 0.001 0.833 0.500

=====

The following is a DFT calculation (GGA-PBE) of a relaxed structure of LuNiBiAu.

Unit cell a=6.878 b=6.878 c=6.878 alpha=90.00 beta=90.00 gamma=90.00
Space group F-43m (No. 216)
Asymmetric unit:
Lu 0.000 0.000 0.000
Ni 0.000 0.000 0.500
Bi 0.250 0.250 0.250
Au 0.250 0.250 0.750

=====

The following is a DFT calculation (GGA-PBE) of a relaxed structure of TbHoNi2P2.

Unit cell a=3.8985 b=3.8985 c=7.6972 alpha=90.00 beta=90.00 gamma=120.00
Space group P-3m1 (No. 164)
Asymmetric unit:
Tb 0.0000 0.0000 0.0000
Ho 0.0000 0.0000 0.5000
Ni 0.3333 0.6667 0.2519
P 0.3333 0.6667 0.7478

=====

The following is a DFT calculation (GGA-PBE) of a relaxed structure of ErBiPO.

Unit cell a=5.459 b=5.459 c=5.392 alpha=90.00 beta=90.00 gamma=90.00
Space group P4/nmm (No. 129, origin choice 2)
Asymmetric unit:
Er 0.250 0.750 0.000
Bi 0.250 0.250 0.498
P 0.250 0.250 0.998
O 0.250 0.750 0.500

=====

The following is a DFT calculation (GGA-PBE) of a relaxed structure of KPuCuTeS2.

Unit cell a=8.460 b=4.012 c=10.039 alpha=90.00 beta=108.50 gamma=90.00
Space group P2_1/m (No. 11)
Asymmetric unit:
K 0.209 0.250 0.223
Pu 0.323 0.750 0.852
Cu 0.076 0.250 0.597
Te 0.248 0.750 0.535
S 0.105 0.250 0.838
S 0.453 0.750 0.133

=====

The following is a DFT calculation (GGA-PBE) of a relaxed structure of Cu7Ag.

Unit cell a=17.049 b=2.618 c=4.534 alpha=90.00 beta=94.95 gamma=90.00
Space group C2/m (No. 12)
Asymmetric unit:
Cu 0.000 0.000 0.000
Cu 0.128 0.500 0.882
Cu 0.131 0.000 0.372
Cu 0.249 0.000 0.752
Ag 0.000 0.500 0.500

=====

The following is a DFT calculation (GGA-PBE) of a relaxed structure of ZrBeSiNi.

Unit cell a=5.951 b=5.951 c=5.951 alpha=90.00 beta=90.00 gamma=90.00
Space group F-43m (No. 216)
Asymmetric unit:
Zr 0.000 0.000 0.000
Be 0.250 0.250 0.250
Si 0.000 0.000 0.500
Ni 0.250 0.250 0.750

=====

The following is a DFT calculation (GGA-PBE) of a relaxed structure of U3Co2Si7.

Unit cell a=3.973 b=24.211 c=4.007 alpha=90.00 beta=90.00 gamma=90.00
Space group Cmmm (No. 65)
Asymmetric unit:
U 0.000 0.000 0.000
U 0.000 0.315 0.500
Co 0.000 0.128 0.000
Si 0.000 0.087 0.500
Si 0.000 0.222 0.000
Si 0.000 0.414 0.000
Si 0.000 0.500 0.500

=====

The following is a DFT calculation (GGA-PBE) of a relaxed structure of KLu3F10.

Unit cell a=7.8321 b=7.8321 c=12.7956 alpha=90.00 beta=90.00 gamma=120.00
Space group P6_3mc (No. 186)
Asymmetric unit:
K 0.0000 0.0000 0.0000
K 0.3333 0.6667 0.2467
Lu 0.0128 0.5064 0.9926
Lu 0.1741 0.3482 0.7533
F 0.0009 0.3335 0.1231
F 0.0328 0.5164 0.8164
F 0.1111 0.2221 0.2889
F 0.1819 0.3639 0.9296
F 0.2207 0.4414 0.4549
F 0.3333 0.6667 0.0413
F 0.3333 0.6667 0.7002

=====

The following is a DFT calculation (GGA-PBE) of a relaxed structure of PrSm2Cd3Ga2Au.

Unit cell a=4.435 b=13.004 c=7.499 alpha=90.00 beta=90.00 gamma=90.00
Space group Amm2 (No. 38)
Asymmetric unit:
Pr 0.000 0.000 0.000
Sm 0.000 0.206 0.382
Cd 0.500 0.000 0.336
Cd 0.500 0.126 0.713
Ga 0.500 0.168 0.088
Au 0.000 0.000 0.585

=====

The following is a DFT calculation (GGA-PBE) of a relaxed structure of Hf2TcIr2.

Unit cell a=3.608 b=3.608 c=14.145 alpha=90.00 beta=90.00 gamma=90.00
Space group I4/mmm (No. 139)
Asymmetric unit:
Hf 0.000 0.000 0.103
Tc 0.000 0.000 0.500
Ir 0.000 0.500 0.250

=====

The following is a DFT calculation (GGA-PBE) of a relaxed structure of HfSi2.

Unit cell a=7.153 b=7.153 c=7.153 alpha=90.00 beta=90.00 gamma=90.00
Space group Fd-3m (No. 227, origin choice 2)
Asymmetric unit:
Hf 0.125 0.125 0.125
Si 0.000 0.000 0.500

=====

The following is a DFT calculation (GGA-PBE) of a relaxed structure of ZrGe4Ir3.

Unit cell a=5.718 b=3.841 c=6.212 alpha=90.00 beta=90.45 gamma=90.00
Space group Pm (No. 6)
Asymmetric unit:
Zr 0.000 0.000 0.000
Ge 0.223 0.500 0.754
Ge 0.357 0.000 0.283
Ge 0.658 0.500 0.096
Ge 0.826 0.000 0.570
Ir 0.023 0.500 0.350
Ir 0.521 0.000 0.876
Ir 0.530 0.500 0.483

=====

The following is a DFT calculation (GGA-PBE) of a relaxed structure of BeAgPt2.

Unit cell a=6.191 b=6.191 c=6.191 alpha=90.00 beta=90.00 gamma=90.00
Space group F-43m (No. 216)
Asymmetric unit:
Be 0.000 0.000 0.000
Ag 0.250 0.250 0.250
Pt 0.000 0.000 0.500
Pt 0.250 0.250 0.750

=====

The following is a DFT calculation (GGA-PBE) of a relaxed structure of BaBOs.

Unit cell a=6.301 b=6.301 c=6.301 alpha=90.00 beta=90.00 gamma=90.00
Space group F-43m (No. 216)
Asymmetric unit:
Ba 0.000 0.000 0.000
B 0.250 0.250 0.250
Os 0.000 0.000 0.500

=====

The following is a DFT calculation (GGA-PBE) of a relaxed structure of ScZn.

Unit cell a=4.629 b=11.724 c=5.567 alpha=90.00 beta=90.00 gamma=90.00
Space group Pmmn (No. 59, origin choice 2)
Asymmetric unit:
Sc 0.250 0.087 0.102
Sc 0.250 0.250 0.614
Sc 0.250 0.750 0.783
Zn 0.250 0.506 0.628
Zn 0.250 0.639 0.248

=====

no.,final energy (eV per atom)
1,-3.078
2,-5.701
3,-5.196
4,-8.629
5,-5.833
6,-4.605
7,-6.418
8,-5.762
9,-6.192
10,-3.549
11,-6.067
12,-7.649
13,-6.368
14,-3.491
15,-9.665
16,-7.086
17,-7.069
18,-4.645
19,-5.033
20,-4.028